No. 1
MnFe2Co: optimized geometry, PBE.

## Properties
Fermi-level density of states   3.852 states/eV per cell
VASP energy   -0.302 Ha/atom

```
data_MnFe2Co
_cell_length_a 4.044
_cell_length_b 4.044
_cell_length_c 2.797
_cell_angle_alpha 90.00
_cell_angle_beta 90.00
_cell_angle_gamma 90.00
_space_group_name_H-M_alt 'P 1'
_space_group_IT_number 1
loop_
_space_group_symop_operation_xyz
'x,y,z'
loop_
_atom_site_label
_atom_site_fract_x
_atom_site_fract_y
_atom_site_fract_z
Mn1 0.000 0.000 0.000
Fe1 0.000 0.500 0.500
Fe2 0.500 0.000 0.500
Co1 0.500 0.500 0.000
```


No. 2
InH8C4NO10: optimized geometry, PBE.

## Properties
Fermi-level density of states   0.000 states/eV per cell
VASP energy   -0.229 Ha/atom

```
data_InH8C4NO10
_cell_length_a 9.091
_cell_length_b 9.091
_cell_length_c 11.672
_cell_angle_alpha 90.00
_cell_angle_beta 90.00
_cell_angle_gamma 120.00
_space_group_name_H-M_alt 'P 1'
_space_group_IT_number 1
loop_
_space_group_symop_operation_xyz
'x,y,z'
loop_
_atom_site_label
_atom_site_fract_x
_atom_site_fract_y
_atom_site_fract_z
In1 0.000 0.500 0.167
In2 0.500 0.000 0.500
In3 0.500 0.500 0.833
H1 0.025 0.103 0.781
H2 0.025 0.922 0.552
H3 0.078 0.103 0.219
H4 0.078 0.975 0.115
H5 0.099 0.355 0.679
H6 0.099 0.744 0.655
H7 0.103 0.025 0.885
H8 0.103 0.078 0.448
H9 0.256 0.355 0.321
H10 0.256 0.901 0.012
H11 0.355 0.099 0.988
H12 0.355 0.256 0.345
H13 0.645 0.744 0.345
H14 0.645 0.901 0.988
H15 0.744 0.099 0.012
H16 0.744 0.645 0.321
H17 0.897 0.922 0.448
H18 0.897 0.975 0.885
H19 0.901 0.256 0.655
H20 0.901 0.645 0.679
H21 0.922 0.025 0.115
H22 0.922 0.897 0.219
H23 0.975 0.078 0.552
H24 0.975 0.897 0.781
C1 0.213 0.427 0.000
C2 0.213 0.787 0.333
C3 0.312 0.624 0.000
C4 0.312 0.688 0.333
C5 0.376 0.688 0.667
C6 0.427 0.213 0.667
C7 0.573 0.787 0.667
C8 0.624 0.312 0.667
C9 0.688 0.312 0.333
C10 0.688 0.376 0.000
C11 0.787 0.213 0.333
C12 0.787 0.573 0.000
N1 0.000 0.000 0.167
N2 0.000 0.000 0.500
N3 0.000 0.000 0.833
O1 0.000 0.241 0.667
O2 0.000 0.759 0.667
O3 0.082 0.351 0.062
O4 0.082 0.731 0.272
O5 0.241 0.000 0.000
O6 0.241 0.241 0.333
O7 0.245 0.550 0.278
O8 0.245 0.696 0.055
O9 0.269 0.351 0.938
O10 0.269 0.918 0.395
O11 0.304 0.550 0.722
O12 0.304 0.755 0.611
O13 0.351 0.082 0.605
O14 0.351 0.269 0.728
O15 0.450 0.696 0.945
O16 0.450 0.755 0.389
O17 0.550 0.245 0.389
O18 0.550 0.304 0.945
O19 0.649 0.731 0.728
O20 0.649 0.918 0.605
O21 0.696 0.245 0.611
O22 0.696 0.450 0.722
O23 0.731 0.082 0.395
O24 0.731 0.649 0.938
O25 0.755 0.304 0.055
O26 0.755 0.450 0.278
O27 0.759 0.000 0.000
O28 0.759 0.759 0.333
O29 0.918 0.269 0.272
O30 0.918 0.649 0.062
```


Question: The lowest Fermi-level density of states belongs to which entry?
Answer: InH8C4NO10